The following is a PBE calculation of a relaxed structure of YGa2Tc, from Alexandria via LeMat-Bulk.

Lattice parameters (Å, degrees): 3.3368 3.3368 6.5352 90.00 90.00 90.00
Last column: nearest neighbours and their distance in Å.
Sites, in units of the cell vectors:
1 Y 0.5000 0.5000 0.5000  8 Ga 3.08, 2 Tc 3.27, 4 Y 3.34
2 Tc 0.5000 0.5000 0.0000  8 Ga 2.69
3 Ga 0.0000 0.0000 0.8027  1 Ga 2.58, 4 Tc 2.69
4 Ga 0.0000 0.0000 0.1973  1 Ga 2.58, 4 Tc 2.69

Results
The value obtained for the calculated total energy is -6.0134 eV per atom. For the relative energy among the computed polymorphs, the calculation gives 17 meV per atom. The formation energy comes out at -1.17 eV/f.u. The density of states at the Fermi level is 4.6 states/eV/f.u.

---

The following is a PBE calculation of a relaxed structure of CeHo2Rh3, from Alexandria via LeMat-Bulk.

Lattice parameters (Å, degrees): 4.8644 4.8644 5.9488 90.00 90.00 120.00
Last column: nearest neighbours and their distance in Å.
Sites, in units of the cell vectors:
1 Ce 0.0000 0.0000 0.0000  8 Rh 2.96-2.97
2 Ho 0.6667 0.3333 0.3390  8 Rh 2.95-3.01
3 Ho 0.3333 0.6667 0.6610  8 Rh 2.95-3.01
4 Rh 0.0000 0.0000 0.5000  6 Ho 2.97, 2 Ce 2.97
5 Rh 0.6667 0.3333 0.8428  5 Ho 2.95-3.01, 3 Ce 2.96
6 Rh 0.3333 0.6667 0.1572  5 Ho 2.95-3.01, 3 Ce 2.96

Results
The value obtained for the calculated total energy is -7.0124 eV per atom. The formation energy comes out at -4.93 eV/f.u. The density of states at the Fermi level is 5.4 states/eV/f.u.

---

The following is a PBE calculation of a relaxed structure of Pm2MnCu12Ni3, from Alexandria via LeMat-Bulk.

Lattice parameters (Å, degrees): 9.7213 9.7213 9.7213 35.97 35.97 35.97
Last column: nearest neighbours and their distance in Å.
Sites, in units of the cell vectors:
1 Pm 0.6457 0.6457 0.6457  12 Cu 3.03-3.31
2 Pm 0.3543 0.3543 0.3543  12 Cu 3.03-3.31
3 Mn 0.0000 0.0000 0.0000  6 Cu 2.48
4 Cu 0.4153 0.4153 0.8088  2 Ni 2.32, 4 Cu 2.36-2.42
5 Cu 0.9256 0.9256 0.3641  4 Cu 2.42-2.63, 1 Mn 2.48, 1 Ni 2.59
6 Cu 0.3641 0.9256 0.9256  4 Cu 2.42-2.63, 1 Mn 2.48, 1 Ni 2.59
7 Cu 0.8088 0.4153 0.4153  2 Ni 2.32, 4 Cu 2.36-2.42
8 Cu 0.9256 0.3641 0.9256  4 Cu 2.42-2.63, 1 Mn 2.48, 1 Ni 2.59
9 Cu 0.4153 0.8088 0.4153  2 Ni 2.32, 4 Cu 2.36-2.42
10 Cu 0.5847 0.5847 0.1912  2 Ni 2.32, 4 Cu 2.36-2.42
11 Cu 0.0744 0.0744 0.6359  4 Cu 2.42-2.63, 1 Mn 2.48, 1 Ni 2.59
12 Cu 0.6359 0.0744 0.0744  4 Cu 2.42-2.63, 1 Mn 2.48, 1 Ni 2.59
13 Cu 0.1912 0.5847 0.5847  2 Ni 2.32, 4 Cu 2.36-2.42
14 Cu 0.0744 0.6359 0.0744  4 Cu 2.42-2.63, 1 Mn 2.48, 1 Ni 2.59
15 Cu 0.5847 0.1912 0.5847  2 Ni 2.32, 4 Cu 2.36-2.42
16 Ni 0.5000 0.0000 0.0000  6 Cu 2.32-2.59
17 Ni 0.0000 0.5000 0.0000  6 Cu 2.32-2.59
18 Ni 0.0000 0.0000 0.5000  6 Cu 2.32-2.59

Results
The value obtained for the calculated total energy is -4.4549 eV per atom. The formation energy comes out at 4.98 eV/f.u. The density of states at the Fermi level is 11.9 states/eV/f.u.